Entry from Alexandria: BHSe3 after structural relaxation (PBE).

Results
Relative energy among the computed polymorphs in meV per atom: 0.0

a = 4.473 Å, b = 4.473 Å, c = 4.473 Å
α = 90.00°, β = 90.00°, γ = 90.00°
Space group Pm-3m (No. 221)
Symmetry-distinct sites (fractional):
B 0.000 0.000 0.000 x1
H 0.500 0.500 0.500 x1
Se 0.000 0.000 0.500 x3

Entry from Alexandria: La3SmTm2 after structural relaxation (PBE).

Results
Relative energy among the computed polymorphs in meV per atom: 175.8
Energy relative to the elements in eV/atom: 0.309

a = 3.492 Å, b = 6.001 Å, c = 19.770 Å
α = 90.00°, β = 90.00°, γ = 90.00°
Space group Immm (No. 71)
Symmetry-distinct sites (fractional):
La 0.000 0.000 0.000 x2
La 0.000 0.500 0.189 x4
Sm 0.000 0.500 0.000 x2
Tm 0.000 0.500 0.362 x4

Entry from Alexandria: CsLa2HfIn after structural relaxation (PBE).

Results
Energy relative to the elements in eV/atom: 1.277

a = 5.826 Å, b = 5.826 Å, c = 5.422 Å
α = 90.00°, β = 90.00°, γ = 90.00°
Space group P4/mmm (No. 123)
Symmetry-distinct sites (fractional):
Cs 0.000 0.000 0.000 x1
La 0.000 0.500 0.000 x2
Hf 0.000 0.000 0.500 x1
In 0.500 0.500 0.500 x1

Entry from Alexandria: FeOs2Br after structural relaxation (PBE).

Results
Relative energy among the computed polymorphs in meV per atom: 72.6
Formation energy (no corrections) in eV/atom: 0.75

a = 2.894 Å, b = 2.894 Å, c = 7.511 Å
α = 90.00°, β = 90.00°, γ = 90.00°
Space group P4mm (No. 99)
Symmetry-distinct sites (fractional):
Fe 0.000 0.000 0.000 x1
Os 0.000 0.000 0.464 x1
Os 0.500 0.500 0.249 x1
Br 0.500 0.500 0.757 x1

Entry from Alexandria: MnNbSe3 after structural relaxation (PBE).

Results
Relative energy among the computed polymorphs in meV per atom: 0.0
Formation energy (no corrections) in eV/atom: -0.31

a = 10.223 Å, b = 7.002 Å, c = 6.610 Å
α = 90.00°, β = 90.00°, γ = 90.00°
Space group Ama2 (No. 40)
Symmetry-distinct sites (fractional):
Mn 0.250 0.203 0.000 x4
Nb 0.000 0.000 0.972 x4
Se 0.067 0.302 0.798 x8
Se 0.250 0.364 0.363 x4

Entry from Alexandria: Tb4IrRh after structural relaxation (PBE).

Results
Relative energy among the computed polymorphs in meV per atom: 0.0
Energy relative to the elements in eV/atom: -0.650

a = 8.949 Å, b = 13.212 Å, c = 6.284 Å
α = 90.00°, β = 124.72°, γ = 90.00°
Space group C2/c (No. 15)
Symmetry-distinct sites (fractional):
Tb 0.135 0.181 0.105 x8
Tb 0.194 0.437 0.264 x8
Ir 0.000 0.363 0.750 x4
Rh 0.000 0.002 0.750 x4

Entry from Alexandria: LaZn2Pd2 after structural relaxation (PBE).

Results
Relative energy among the computed polymorphs in meV per atom: 0.0
Energy relative to the elements in eV/atom: -0.638

a = 4.068 Å, b = 4.068 Å, c = 11.974 Å
α = 90.00°, β = 90.00°, γ = 90.00°
Space group I4/mmm (No. 139)
Symmetry-distinct sites (fractional):
La 0.000 0.000 0.000 x2
Zn 0.000 0.500 0.250 x4
Pd 0.000 0.000 0.386 x4

Entry from Alexandria: HfTcW2C after structural relaxation (PBE).

Results
Energy relative to the elements in eV/atom: 3.637

a = 4.823 Å, b = 4.823 Å, c = 4.633 Å
α = 90.00°, β = 90.00°, γ = 90.00°
Space group P4/mmm (No. 123)
Symmetry-distinct sites (fractional):
Hf 0.000 0.000 0.000 x1
Tc 0.000 0.000 0.500 x1
W 0.000 0.500 0.000 x2
C 0.500 0.500 0.500 x1

Entry from Alexandria: La2Nd3SmTm6 after structural relaxation (PBE).

Results
Energy relative to the elements in eV/atom: 0.018

a = 6.244 Å, b = 10.810 Å, c = 11.753 Å
α = 90.00°, β = 100.19°, γ = 90.00°
Space group C2/m (No. 12)
Symmetry-distinct sites (fractional):
La 0.000 0.166 0.000 x4
Nd 0.000 0.000 0.500 x2
Nd 0.000 0.333 0.500 x4
Sm 0.000 0.500 0.000 x2
Tm 0.248 0.500 0.749 x4
Tm 0.250 0.166 0.749 x8

Entry from Alexandria: TaAs2IrSe after structural relaxation (PBE).

Results
Formation energy (no corrections) in eV/atom: 1.04

a = 4.951 Å, b = 4.951 Å, c = 4.849 Å
α = 90.00°, β = 90.00°, γ = 90.00°
Space group P4/mmm (No. 123)
Symmetry-distinct sites (fractional):
Ta 0.000 0.000 0.000 x1
As 0.000 0.500 0.000 x2
Ir 0.500 0.500 0.500 x1
Se 0.000 0.000 0.500 x1

Entry from Alexandria: Cs2NdCuI6 after structural relaxation (PBE).

Results
Relative energy among the computed polymorphs in meV per atom: 0.0
Formation energy (no corrections) in eV/atom: -1.18

a = 8.202 Å, b = 8.577 Å, c = 8.637 Å
α = 115.09°, β = 113.59°, γ = 98.65°
Space group P-1 (No. 2)
Symmetry-distinct sites (fractional):
Cs 0.244 0.244 0.488 x2
Nd 0.000 0.500 0.000 x1
Cu 0.500 0.000 0.000 x1
I 0.219 0.842 0.001 x2
I 0.233 0.733 0.467 x2
I 0.297 0.318 0.000 x2

Entry from Alexandria: TlOsPd2N after structural relaxation (PBE).

Results
Formation energy (no corrections) in eV/atom: 0.40

a = 4.527 Å, b = 4.527 Å, c = 3.827 Å
α = 90.00°, β = 90.00°, γ = 90.00°
Space group P4/mmm (No. 123)
Symmetry-distinct sites (fractional):
Tl 0.000 0.000 0.000 x1
Os 0.500 0.500 0.000 x1
Pd 0.000 0.500 0.500 x2
N 0.500 0.500 0.500 x1

Number 1: calculated density 4.6 Mg/m³, D(E_F) 4.35 states/eV per cell, M_tot 0.82 Bohr magnetons per cell. Number 2: calculated density 7.3 Mg/m³, D(E_F) 20.06 states/eV per cell, M_tot 0.00 Bohr magnetons per cell. Number 3: calculated density 6.4 Mg/m³, D(E_F) 6.43 states/eV per cell, M_tot 0.02 Bohr magnetons per cell. Number 4: calculated density 13.6 Mg/m³, D(E_F) 4.42 states/eV per cell, M_tot 3.30 Bohr magnetons per cell. Number 5: calculated density 5.4 Mg/m³, D(E_F) 8.39 states/eV per cell, M_tot 15.20 Bohr magnetons per cell. Number 6: calculated density 10.1 Mg/m³, D(E_F) 23.34 states/eV per cell, M_tot 0.00 Bohr magnetons per cell. Number 7: calculated density 8.1 Mg/m³, D(E_F) 5.15 states/eV per cell, M_tot 0.00 Bohr magnetons per cell. Number 8: calculated density 10.1 Mg/m³, D(E_F) 6.64 states/eV per cell, M_tot 0.00 Bohr magnetons per cell. Number 9: calculated density 8.0 Mg/m³, D(E_F) 25.27 states/eV per cell, M_tot 0.00 Bohr magnetons per cell. Number 10: calculated density 8.4 Mg/m³, D(E_F) 5.50 states/eV per cell, M_tot 1.01 Bohr magnetons per cell. Number 11: calculated density 4.4 Mg/m³, D(E_F) 0.00 states/eV per cell, M_tot 0.00 Bohr magnetons per cell. Number 12: calculated density 13.2 Mg/m³, D(E_F) 5.46 states/eV per cell, M_tot 0.00 Bohr magnetons per cell.